Record 1
# TaAl2SiGe, relaxed, DFT PBE
# formation energy from raw total energies	84.0	kJ per mole of atoms
data_TaAl2SiGe
_cell_length_a 5.032
_cell_length_b 5.032
_cell_length_c 4.840
_cell_angle_alpha 90.00
_cell_angle_beta 90.00
_cell_angle_gamma 90.00
_symmetry_space_group_name_H-M 'P 1'
_symmetry_Int_Tables_number 1
_symmetry_space_group_name_Hall 'P 1'
loop_
_atom_site_label
_atom_site_type_symbol
_atom_site_fract_x
_atom_site_fract_y
_atom_site_fract_z
_atom_site_occupancy
Ta1 Ta 0.000 0.000 0.000 1
Al1 Al 0.000 0.500 0.000 1
Al2 Al 0.500 0.000 0.000 1
Si1 Si 0.000 0.000 0.500 1
Ge1 Ge 0.500 0.500 0.500 1

***

Record 2
# La4Tl2Cd, relaxed, DFT PBE
# calculated formation energy	-278	meV per atom
data_La4Tl2Cd
_cell_length_a 9.429
_cell_length_b 9.429
_cell_length_c 9.429
_cell_angle_alpha 34.18
_cell_angle_beta 34.18
_cell_angle_gamma 34.18
_symmetry_space_group_name_H-M 'P 1'
_symmetry_Int_Tables_number 1
_symmetry_space_group_name_Hall 'P 1'
loop_
_atom_site_label
_atom_site_type_symbol
_atom_site_fract_x
_atom_site_fract_y
_atom_site_fract_z
_atom_site_occupancy
La1 La 0.118 0.118 0.118 1
La2 La 0.370 0.370 0.370 1
La3 La 0.630 0.630 0.630 1
La4 La 0.882 0.882 0.882 1
Tl1 Tl 0.246 0.246 0.246 1
Tl2 Tl 0.754 0.754 0.754 1
Cd1 Cd 0.500 0.500 0.500 1

***

Record 3
# ZrTaSb2, relaxed, DFT PBE
# formation energy from raw total energies	20.7	kJ per mole of atoms
# offset from the most stable computed form	503	meV/atom
data_ZrTaSb2
_cell_length_a 7.071
_cell_length_b 7.071
_cell_length_c 7.071
_cell_angle_alpha 90.00
_cell_angle_beta 90.00
_cell_angle_gamma 90.00
_symmetry_space_group_name_H-M 'P 1'
_symmetry_Int_Tables_number 1
_symmetry_space_group_name_Hall 'P 1'
loop_
_atom_site_label
_atom_site_type_symbol
_atom_site_fract_x
_atom_site_fract_y
_atom_site_fract_z
_atom_site_occupancy
Zr1 Zr 0.000 0.000 0.000 1
Zr2 Zr 0.000 0.500 0.500 1
Zr3 Zr 0.500 0.000 0.500 1
Zr4 Zr 0.500 0.500 0.000 1
Ta1 Ta 0.250 0.250 0.750 1
Ta2 Ta 0.250 0.750 0.250 1
Ta3 Ta 0.750 0.250 0.250 1
Ta4 Ta 0.750 0.750 0.750 1
Sb1 Sb 0.000 0.000 0.500 1
Sb2 Sb 0.000 0.500 0.000 1
Sb3 Sb 0.250 0.250 0.250 1
Sb4 Sb 0.250 0.750 0.750 1
Sb5 Sb 0.500 0.000 0.000 1
Sb6 Sb 0.500 0.500 0.500 1
Sb7 Sb 0.750 0.250 0.750 1
Sb8 Sb 0.750 0.750 0.250 1

***

Record 4
# CaNi5Sb3, relaxed, DFT PBE
# formation energy from raw total energies	-31.9	kJ per mole of atoms
data_CaNi5Sb3
_cell_length_a 6.810
_cell_length_b 6.810
_cell_length_c 12.232
_cell_angle_alpha 90.00
_cell_angle_beta 90.00
_cell_angle_gamma 145.72
_symmetry_space_group_name_H-M 'P 1'
_symmetry_Int_Tables_number 1
_symmetry_space_group_name_Hall 'P 1'
loop_
_atom_site_label
_atom_site_type_symbol
_atom_site_fract_x
_atom_site_fract_y
_atom_site_fract_z
_atom_site_occupancy
Ca1 Ca 0.192 0.808 0.750 1
Ca2 Ca 0.808 0.192 0.250 1
Ni1 Ni 0.000 0.000 0.000 1
Ni2 Ni 0.000 0.000 0.500 1
Ni3 Ni 0.186 0.814 0.067 1
Ni4 Ni 0.186 0.814 0.433 1
Ni5 Ni 0.454 0.546 0.642 1
Ni6 Ni 0.454 0.546 0.858 1
Ni7 Ni 0.546 0.454 0.142 1
Ni8 Ni 0.546 0.454 0.358 1
Ni9 Ni 0.814 0.186 0.567 1
Ni10 Ni 0.814 0.186 0.933 1
Sb1 Sb 0.099 0.901 0.250 1
Sb2 Sb 0.374 0.626 0.049 1
Sb3 Sb 0.374 0.626 0.451 1
Sb4 Sb 0.626 0.374 0.549 1
Sb5 Sb 0.626 0.374 0.951 1
Sb6 Sb 0.901 0.099 0.750 1

***

Record 5
# CoSb2Pb, relaxed, DFT PBE
# formation energy from raw total energies	54.5	kJ per mole of atoms
data_CoSb2Pb
_cell_length_a 6.270
_cell_length_b 8.090
_cell_length_c 3.827
_cell_angle_alpha 90.00
_cell_angle_beta 90.00
_cell_angle_gamma 90.00
_symmetry_space_group_name_H-M 'P 1'
_symmetry_Int_Tables_number 1
_symmetry_space_group_name_Hall 'P 1'
loop_
_atom_site_label
_atom_site_type_symbol
_atom_site_fract_x
_atom_site_fract_y
_atom_site_fract_z
_atom_site_occupancy
Co1 Co 0.000 0.000 0.000 1
Co2 Co 0.500 0.500 0.000 1
Sb1 Sb 0.250 0.250 0.500 1
Sb2 Sb 0.250 0.750 0.500 1
Sb3 Sb 0.750 0.250 0.500 1
Sb4 Sb 0.750 0.750 0.500 1
Pb1 Pb 0.000 0.500 0.000 1
Pb2 Pb 0.500 0.000 0.000 1

***

Record 6
# BaHf3Mg, relaxed, DFT PBE
# calculated formation energy	1193	meV per atom
# offset from the most stable computed form	0	meV/atom
data_BaHf3Mg
_cell_length_a 5.287
_cell_length_b 5.287
_cell_length_c 5.287
_cell_angle_alpha 90.00
_cell_angle_beta 90.00
_cell_angle_gamma 90.00
_symmetry_space_group_name_H-M 'P 1'
_symmetry_Int_Tables_number 1
_symmetry_space_group_name_Hall 'P 1'
loop_
_atom_site_label
_atom_site_type_symbol
_atom_site_fract_x
_atom_site_fract_y
_atom_site_fract_z
_atom_site_occupancy
Ba1 Ba 0.000 0.000 0.000 1
Hf1 Hf 0.000 0.500 0.500 1
Hf2 Hf 0.500 0.000 0.500 1
Hf3 Hf 0.500 0.500 0.000 1
Mg1 Mg 0.500 0.500 0.500 1

***

Record 7
# Er2Ga4Cu3Pd, relaxed, DFT PBE
# calculated formation energy	-502	meV per atom
data_Er2Ga4Cu3Pd
_cell_length_a 4.104
_cell_length_b 4.104
_cell_length_c 10.324
_cell_angle_alpha 90.00
_cell_angle_beta 90.00
_cell_angle_gamma 90.00
_symmetry_space_group_name_H-M 'P 1'
_symmetry_Int_Tables_number 1
_symmetry_space_group_name_Hall 'P 1'
loop_
_atom_site_label
_atom_site_type_symbol
_atom_site_fract_x
_atom_site_fract_y
_atom_site_fract_z
_atom_site_occupancy
Er1 Er 0.000 0.500 0.247 1
Er2 Er 0.500 0.000 0.753 1
Ga1 Ga 0.000 0.000 0.000 1
Ga2 Ga 0.000 0.500 0.637 1
Ga3 Ga 0.500 0.000 0.363 1
Ga4 Ga 0.500 0.500 0.000 1
Cu1 Cu 0.000 0.500 0.866 1
Cu2 Cu 0.500 0.000 0.134 1
Cu3 Cu 0.500 0.500 0.500 1
Pd1 Pd 0.000 0.000 0.500 1

***

Record 8
# Rb2BaNaAg, relaxed, DFT PBE
# calculated formation energy	94	meV per atom
data_Rb2BaNaAg
_cell_length_a 6.824
_cell_length_b 6.824
_cell_length_c 6.666
_cell_angle_alpha 90.00
_cell_angle_beta 90.00
_cell_angle_gamma 90.00
_symmetry_space_group_name_H-M 'P 1'
_symmetry_Int_Tables_number 1
_symmetry_space_group_name_Hall 'P 1'
loop_
_atom_site_label
_atom_site_type_symbol
_atom_site_fract_x
_atom_site_fract_y
_atom_site_fract_z
_atom_site_occupancy
Rb1 Rb 0.000 0.500 0.000 1
Rb2 Rb 0.500 0.000 0.000 1
Ba1 Ba 0.000 0.000 0.500 1
Na1 Na 0.500 0.500 0.500 1
Ag1 Ag 0.000 0.000 0.000 1

***

Record 9
# Sm4YSn2, relaxed, DFT PBE
# calculated formation energy	-232	meV per atom
data_Sm4YSn2
_cell_length_a 10.691
_cell_length_b 10.691
_cell_length_c 10.691
_cell_angle_alpha 28.25
_cell_angle_beta 28.25
_cell_angle_gamma 28.25
_symmetry_space_group_name_H-M 'P 1'
_symmetry_Int_Tables_number 1
_symmetry_space_group_name_Hall 'P 1'
loop_
_atom_site_label
_atom_site_type_symbol
_atom_site_fract_x
_atom_site_fract_y
_atom_site_fract_z
_atom_site_occupancy
Sm1 Sm 0.111 0.111 0.111 1
Sm2 Sm 0.295 0.295 0.295 1
Sm3 Sm 0.705 0.705 0.705 1
Sm4 Sm 0.889 0.889 0.889 1
Y1 Y 0.500 0.500 0.500 1
Sn1 Sn 0.400 0.400 0.400 1
Sn2 Sn 0.600 0.600 0.600 1

***

Record 10
# Fe2AgAu, relaxed, DFT PBE
# calculated formation energy	293	meV per atom
data_Fe2AgAu
_cell_length_a 3.935
_cell_length_b 3.935
_cell_length_c 7.774
_cell_angle_alpha 90.00
_cell_angle_beta 90.00
_cell_angle_gamma 90.00
_symmetry_space_group_name_H-M 'P 1'
_symmetry_Int_Tables_number 1
_symmetry_space_group_name_Hall 'P 1'
loop_
_atom_site_label
_atom_site_type_symbol
_atom_site_fract_x
_atom_site_fract_y
_atom_site_fract_z
_atom_site_occupancy
Fe1 Fe 0.000 0.000 0.000 1
Fe2 Fe 0.000 0.500 0.250 1
Fe3 Fe 0.500 0.000 0.750 1
Fe4 Fe 0.500 0.500 0.500 1
Ag1 Ag 0.000 0.500 0.750 1
Ag2 Ag 0.500 0.000 0.250 1
Au1 Au 0.000 0.000 0.500 1
Au2 Au 0.500 0.500 0.000 1

***

Record 11
# Tb4ErMg7, relaxed, DFT PBE
# calculated formation energy	-26	meV per atom
# offset from the most stable computed form	0	meV/atom
data_Tb4ErMg7
_cell_length_a 5.297
_cell_length_b 5.297
_cell_length_c 13.231
_cell_angle_alpha 90.00
_cell_angle_beta 90.00
_cell_angle_gamma 120.00
_symmetry_space_group_name_H-M 'P 1'
_symmetry_Int_Tables_number 1
_symmetry_space_group_name_Hall 'P 1'
loop_
_atom_site_label
_atom_site_type_symbol
_atom_site_fract_x
_atom_site_fract_y
_atom_site_fract_z
_atom_site_occupancy
Tb1 Tb 0.333 0.667 0.161 1
Tb2 Tb 0.333 0.667 0.420 1
Tb3 Tb 0.667 0.333 0.580 1
Tb4 Tb 0.667 0.333 0.839 1
Er1 Er 0.000 0.000 0.000 1
Mg1 Mg 0.000 0.000 0.261 1
Mg2 Mg 0.000 0.000 0.500 1
Mg3 Mg 0.000 0.000 0.739 1
Mg4 Mg 0.333 0.667 0.683 1
Mg5 Mg 0.333 0.667 0.917 1
Mg6 Mg 0.667 0.333 0.083 1
Mg7 Mg 0.667 0.333 0.317 1

***

Record 12
# BaTl2AsCl6, relaxed, DFT PBE
# formation energy from raw total energies	-115.5	kJ per mole of atoms
data_BaTl2AsCl6
_cell_length_a 7.764
_cell_length_b 7.769
_cell_length_c 8.385
_cell_angle_alpha 115.40
_cell_angle_beta 115.28
_cell_angle_gamma 91.33
_symmetry_space_group_name_H-M 'P 1'
_symmetry_Int_Tables_number 1
_symmetry_space_group_name_Hall 'P 1'
loop_
_atom_site_label
_atom_site_type_symbol
_atom_site_fract_x
_atom_site_fract_y
_atom_site_fract_z
_atom_site_occupancy
Ba1 Ba 0.000 0.000 0.000 1
Tl1 Tl 0.257 0.636 0.387 1
Tl2 Tl 0.635 0.258 0.388 1
As1 As 0.555 0.555 0.055 1
Cl1 Cl 0.279 0.280 0.449 1
Cl2 Cl 0.290 0.288 0.010 1
Cl3 Cl 0.329 0.780 0.069 1
Cl4 Cl 0.703 0.704 0.575 1
Cl5 Cl 0.780 0.329 0.066 1
Cl6 Cl 0.822 0.823 0.187 1